Entry 1:
Below is H2Pb2F after structural relaxation, with properties calculated at the PBE level.

a b c (Å): 3.835 3.835 6.386
angles (deg): 72.53 72.53 90.00
Element x y z (fractional)
F 0.000 0.000 0.000
Pb 0.638 0.638 0.724
Pb 0.362 0.362 0.276
H 0.250 0.750 0.500
H 0.750 0.250 0.500

Properties
The symmetry is I4/mmm, No. 139. As for the offset from the most stable computed form: 60 meV/atom.



Entry 2:
Below is CrSe2S after structural relaxation, with properties calculated at the PBE level.

a b c (Å): 7.819 7.819 7.819
angles (deg): 27.21 27.21 27.21
Element x y z (fractional)
Cr 0.500 0.500 0.500
S 0.000 0.000 0.000
Se 0.894 0.894 0.894
Se 0.106 0.106 0.106

Properties
As for the formation energy from raw total energies: -0.07 eV per atom. The symmetry is R-3m, No. 166.



Entry 3:
Below is Ca3BeTl after structural relaxation, with properties calculated at the PBE level.

a b c (Å): 5.536 5.536 5.536
angles (deg): 90.00 90.00 90.00
Element x y z (fractional)
Ca 0.000 0.000 0.500
Ca 0.500 0.000 0.000
Ca 0.000 0.500 0.000
Tl 0.500 0.500 0.500
Be 0.000 0.000 0.000

Properties
The symmetry is Pm-3m, No. 221. As for the offset from the most stable computed form: 0 meV/atom. The value obtained for the formation energy is 1.0 eV/f.u.



Entry 4:
Below is Na3Cd2Pt2 after structural relaxation, with properties calculated at the PBE level.

a b c (Å): 4.842 4.842 7.294
angles (deg): 90.04 109.34 120.01
Element x y z (fractional)
Na 0.713 0.856 0.569
Na 0.287 0.144 0.431
Na 0.000 0.000 0.000
Pt 0.141 0.571 0.711
Pt 0.859 0.429 0.289
Cd 0.424 0.712 0.136
Cd 0.576 0.288 0.864

Properties
The symmetry is C2/m, No. 12. The value obtained for the formation energy is -1.5 eV/f.u.



Entry 5:
Below is CuRhI after structural relaxation, with properties calculated at the PBE level.

a b c (Å): 4.038 4.046 12.569
angles (deg): 104.89 125.19 59.98
Element x y z (fractional)
Cu 0.525 0.143 0.693
Cu 0.475 0.857 0.307
I 0.435 0.790 0.824
I 0.565 0.210 0.176
Rh 0.935 0.826 0.554
Rh 0.065 0.174 0.446

Properties
As for the formation energy from raw total energies: 0.28 eV per atom. The symmetry is P-1, No. 2.



Entry 6:
Below is PmAl8Pd4 after structural relaxation, with properties calculated at the PBE level.

a b c (Å): 5.451 6.850 6.850
angles (deg): 80.89 66.55 66.55
Element x y z (fractional)
Pm 0.000 0.000 0.000
Al 0.722 0.778 0.778
Al 0.278 0.222 0.222
Al 0.000 0.651 0.349
Al 0.000 0.349 0.651
Al 0.349 0.651 0.651
Al 0.500 0.778 0.222
Al 0.500 0.222 0.778
Al 0.651 0.349 0.349
Pd 0.500 0.000 0.500
Pd 0.500 0.500 0.000
Pd 0.000 0.000 0.500
Pd 0.000 0.500 0.000

Properties
The symmetry is I4/mmm, No. 139. The value obtained for the formation energy is -9.4 eV/f.u.



Entry 7:
Below is ErAsHRu after structural relaxation, with properties calculated at the PBE level.

a b c (Å): 4.096 4.096 7.072
angles (deg): 90.00 90.00 90.00
Element x y z (fractional)
As 0.000 0.500 0.809
As 0.500 0.000 0.191
Er 0.000 0.500 0.340
Er 0.500 0.000 0.660
Ru 0.000 0.000 0.000
Ru 0.500 0.500 0.000
H 0.500 0.500 0.500
H 0.000 0.000 0.500

Properties
The symmetry is P4/nmm, No. 129. The total energy comes out at -6.227 eV per atom.



Entry 8:
Below is ZnCdOsO6 after structural relaxation, with properties calculated at the PBE level.

a b c (Å): 5.266 5.266 9.497
angles (deg): 90.00 90.00 120.00
Element x y z (fractional)
Zn 0.667 0.333 0.250
Zn 0.333 0.667 0.750
Os 0.333 0.667 0.250
Os 0.667 0.333 0.750
O 0.648 0.030 0.862
O 0.381 0.030 0.638
O 0.970 0.619 0.862
O 0.030 0.648 0.362
O 0.648 0.619 0.638
O 0.352 0.970 0.138
O 0.381 0.352 0.862
O 0.352 0.381 0.362
O 0.030 0.381 0.138
O 0.619 0.648 0.138
O 0.970 0.352 0.638
O 0.619 0.970 0.362
Cd 0.000 0.000 0.000
Cd 0.000 0.000 0.500

Properties
As for the formation energy from raw total energies: -0.95 eV per atom. The symmetry is P-31c, No. 163.